Entry 1:
Pm2Dy2Ni15 | GGA-PBE | relaxed

Its space-group type is R-3m. The calculation puts the density of states at the Fermi level at 1.379 states/eV/atom. As for the magnetic moment: 2.1 μB per cell. The calculation puts the total energy at -5.765 eV/atom.

Lattice parameters (Å, degrees): 6.507 6.507 6.507 82.46 82.46 82.46
Last column: magnetic moment on the atom in μB.
Sites, in units of the cell vectors:
Ni1 0.308 0.000 0.692  0.18
Ni2 0.000 0.308 0.692  0.18
Ni3 0.834 0.348 0.348  0.16
Ni4 0.692 0.308 0.000  0.18
Ni5 0.000 0.500 0.000  0.13
Ni6 0.000 0.692 0.308  0.18
Ni7 0.166 0.652 0.652  0.16
Ni8 0.652 0.652 0.166  0.16
Ni9 0.348 0.348 0.834  0.16
Ni10 0.652 0.166 0.652  0.16
Ni11 0.348 0.834 0.348  0.16
Ni12 0.000 0.000 0.500  0.13
Ni13 0.692 0.000 0.308  0.18
Ni14 0.308 0.692 0.000  0.18
Ni15 0.500 0.000 0.000  0.13
Pm1 0.359 0.359 0.359  -0.03
Pm2 0.641 0.641 0.641  -0.03
Dy1 0.111 0.111 0.111  -0.04
Dy2 0.889 0.889 0.889  -0.04

=====

Entry 2:
PmDyNi3 | GGA-PBE | relaxed

Its space-group type is Cmcm. The calculation puts the density of states at the Fermi level at 0.959 states/eV/atom. As for the magnetic moment: 0.0 μB per cell. The calculation puts the total energy at -5.726 eV/atom.

Lattice parameters (Å, degrees): 4.006 3.910 12.273 99.16 90.00 90.00
Sites, in units of the cell vectors:
Ni1 0.250 0.379 0.757
Ni2 0.750 0.525 0.050
Ni3 0.750 0.324 0.649
Ni4 0.750 0.621 0.243
Ni5 0.250 0.475 0.950
Ni6 0.250 0.676 0.351
Dy1 0.250 0.796 0.592
Dy2 0.750 0.204 0.408
Pm1 0.750 0.928 0.856
Pm2 0.250 0.072 0.144

=====

Entry 3:
PmDyNi | GGA-PBE | relaxed

Its space-group type is P-1. The calculation puts the density of states at the Fermi level at 1.075 states/eV/atom. As for the magnetic moment: 0.0 μB per cell. The calculation puts the total energy at -5.242 eV/atom.

Lattice parameters (Å, degrees): 3.444 6.963 6.726 104.96 104.84 90.09
Sites, in units of the cell vectors:
Pm1 0.311 0.488 0.388
Pm2 0.566 0.616 0.901
Dy1 0.570 0.118 0.906
Dy2 0.308 0.986 0.383
Ni1 0.940 0.276 0.645
Ni2 0.938 0.828 0.644

=====

Entry 4:
Pm2DyNi | GGA-PBE | relaxed

Its space-group type is R-3m. The calculation puts the density of states at the Fermi level at 1.011 states/eV/atom. As for the magnetic moment: 0.0 μB per cell. The calculation puts the total energy at -5.013 eV/atom.

Lattice parameters (Å, degrees): 3.734 3.734 9.730 78.94 78.94 60.00
Sites, in units of the cell vectors:
Pm1 0.729 0.729 0.814
Pm2 0.271 0.271 0.186
Dy1 0.500 0.500 0.500
Ni1 0.000 0.000 0.000

=====

Entry 5:
Pm2Dy5Ni4 | GGA-PBE | relaxed

Its space-group type is C2/m. The calculation puts the density of states at the Fermi level at 0.961 states/eV/atom. As for the magnetic moment: 0.0 μB per cell. The calculation puts the total energy at -5.177 eV/atom.

Lattice parameters (Å, degrees): 3.563 6.733 12.792 115.33 98.01 90.00
Sites, in units of the cell vectors:
Ni1 0.677 0.716 0.353
Ni2 0.323 0.284 0.647
Ni3 0.981 0.650 0.962
Ni4 0.019 0.350 0.038
Dy1 0.500 0.000 0.000
Dy2 0.100 0.802 0.200
Dy3 0.900 0.198 0.800
Dy4 0.872 0.633 0.744
Dy5 0.128 0.367 0.256
Pm1 0.271 0.796 0.542
Pm2 0.729 0.204 0.458

=====

Entry 6:
PmDy3Ni | GGA-PBE | relaxed

Its space-group type is Pm-3m. The calculation puts the density of states at the Fermi level at 1.949 states/eV/atom. As for the magnetic moment: 0.0 μB per cell. The calculation puts the total energy at -4.930 eV/atom.

Lattice parameters (Å, degrees): 5.326 5.326 5.326 90.00 90.00 90.00
Sites, in units of the cell vectors:
Pm1 0.500 0.500 0.500
Dy1 0.000 0.500 0.000
Dy2 0.000 0.000 0.500
Dy3 0.500 0.000 0.000
Ni1 0.000 0.000 0.000

=====

Entry 7:
PmDy3Ni8 | GGA-PBE | relaxed

Its space-group type is R3m. The calculation puts the density of states at the Fermi level at 0.527 states/eV/atom. As for the magnetic moment: 0.0 μB per cell. The calculation puts the total energy at -5.823 eV/atom.

Lattice parameters (Å, degrees): 5.080 5.080 8.824 73.27 73.27 60.00
Sites, in units of the cell vectors:
Pm1 0.875 0.875 0.375
Dy1 0.375 0.375 0.875
Dy2 0.499 0.499 0.502
Dy3 0.000 0.000 0.999
Ni1 0.438 0.939 0.185
Ni2 0.187 0.187 0.438
Ni3 0.435 0.938 0.690
Ni4 0.688 0.688 0.937
Ni5 0.939 0.438 0.185
Ni6 0.938 0.938 0.690
Ni7 0.438 0.438 0.185
Ni8 0.938 0.435 0.690

=====

Entry 8:
PmDy5Ni2 | GGA-PBE | relaxed

Its space-group type is Cmcm. The calculation puts the density of states at the Fermi level at 1.448 states/eV/atom. As for the magnetic moment: 0.0 μB per cell. The calculation puts the total energy at -5.060 eV/atom.

Lattice parameters (Å, degrees): 3.644 6.762 18.331 90.00 90.00 105.63
Sites, in units of the cell vectors:
Dy1 0.671 0.342 0.558
Dy2 0.329 0.658 0.442
Dy3 0.063 0.126 0.090
Dy4 0.937 0.874 0.910
Dy5 0.063 0.126 0.410
Dy6 0.329 0.658 0.058
Dy7 0.671 0.342 0.942
Dy8 0.415 0.829 0.750
Dy9 0.585 0.171 0.250
Dy10 0.937 0.874 0.590
Pm1 0.688 0.376 0.750
Pm2 0.312 0.624 0.250
Ni1 0.715 0.430 0.135
Ni2 0.285 0.570 0.865
Ni3 0.285 0.570 0.635
Ni4 0.715 0.430 0.365